Below is crystalline KCoW2 at its relaxed geometry, with properties calculated at the GGA-PBE level.

Unit cell a=5.165 b=6.013 c=2.617 alpha=80.19 beta=83.67 gamma=113.92
Last column: magnetic moment on the atom in μB.
Fractional coordinates of all 4 atoms:
Co 0.000 0.500 0.500  1.60
W 0.000 0.000 0.000  0.01
W 0.500 0.000 0.500  0.01
K 0.500 0.500 0.000  -0.02

Output
Space-group type ... C2/m (12)
Formation enthalpy at 0 K ... 1.490 eV/atom
Final energy ... -7.04 eV per atom
Distance to the lowest polymorph of the same formula ... 0.684 eV per atom